Entry 1:
The following is a PBE-GGA calculation of an optimized crystal structure of ZrSc3Ti2N6, from the Alexandria database.

Values from the calculation:
Space group: No. 12
Energy relative to the elements, uncorrected: -1810 meV/atom
Theoretical density: 5.121 g/cm3

abc: 5.428 5.428 5.462
angles: 99.59 99.59 119.87
Positions (direct):
Zr 0.000 0.000 0.000
Sc 0.168 0.832 0.500
Sc 0.500 0.500 0.500
Sc 0.832 0.168 0.500
Ti 0.334 0.666 0.000
Ti 0.666 0.334 0.000
N 0.080 0.422 0.242
N 0.261 0.261 0.759
N 0.422 0.080 0.242
N 0.578 0.920 0.758
N 0.739 0.739 0.241
N 0.920 0.578 0.758


Entry 2:
The following is a PBE-GGA calculation of an optimized crystal structure of ZrZnH2, from the Alexandria database.

Values from the calculation:
Space group: No. 122
E above lowest polymorph: 0 meV/atom
Theoretical density: 5.789 g/cm3

abc: 5.827 5.827 5.827
angles: 136.96 136.96 62.50
Positions (direct):
Zr 0.000 0.000 0.000
Zr 0.750 0.250 0.500
Zn 0.250 0.750 0.500
Zn 0.500 0.500 0.000
H 0.136 0.625 0.011
H 0.375 0.386 0.511
H 0.614 0.125 0.989
H 0.875 0.864 0.489


Entry 3:
The following is a PBE-GGA calculation of an optimized crystal structure of Na6SrPd6, from the Alexandria database.

Values from the calculation:
Space group: No. 71
Calculated formation energy: -0.19 eV per atom
Theoretical density: 5.314 g/cm3

abc: 7.501 7.501 7.501
angles: 136.45 98.00 97.82
Positions (direct):
Na 0.147 0.500 0.647
Na 0.166 0.166 0.000
Na 0.304 0.000 0.304
Na 0.696 0.000 0.696
Na 0.834 0.834 0.000
Na 0.853 0.500 0.353
Sr 0.500 0.500 0.000
Pd 0.000 0.000 0.500
Pd 0.000 0.500 0.000
Pd 0.274 0.774 0.500
Pd 0.500 0.000 0.000
Pd 0.500 0.500 0.500
Pd 0.726 0.226 0.500


Entry 4:
The following is a PBE-GGA calculation of an optimized crystal structure of Cs2Zn4Pd, from the Alexandria database.

Values from the calculation:
Space group: No. 139
Calculated formation energy: -0.02 eV per atom
Theoretical density: 4.287 g/cm3

abc: 10.087 10.087 10.087
angles: 150.68 150.68 41.95
Positions (direct):
Cs 0.154 0.154 0.000
Cs 0.846 0.846 0.000
Zn 0.000 0.500 0.500
Zn 0.370 0.370 0.000
Zn 0.500 0.000 0.500
Zn 0.630 0.630 0.000
Pd 0.500 0.500 0.000


Entry 5:
The following is a PBE-GGA calculation of an optimized crystal structure of CeNd2RuN4, from the Alexandria database.

Values from the calculation:
Space group: No. 63
Energy relative to the elements, uncorrected: -883 meV/atom
Theoretical density: 7.874 g/cm3

abc: 6.188 6.188 12.003
angles: 90.00 90.00 147.49
Positions (direct):
Ce 0.112 0.888 0.750
Ce 0.888 0.112 0.250
Nd 0.369 0.631 0.547
Nd 0.369 0.631 0.953
Nd 0.631 0.369 0.047
Nd 0.631 0.369 0.453
Ru 0.149 0.851 0.250
Ru 0.851 0.149 0.750
N 0.000 0.000 0.000
N 0.000 0.000 0.500
N 0.278 0.722 0.139
N 0.278 0.722 0.361
N 0.450 0.550 0.750
N 0.550 0.450 0.250
N 0.722 0.278 0.639
N 0.722 0.278 0.861


Entry 6:
The following is a PBE-GGA calculation of an optimized crystal structure of Rb3CaU3Te8, from the Alexandria database.

Values from the calculation:
Space group: No. 12
Energy relative to the elements, uncorrected: -952 meV/atom
Theoretical density: 5.510 g/cm3

abc: 9.038 9.038 10.106
angles: 116.56 116.56 59.99
Positions (direct):
Rb 0.000 0.000 0.000
Rb 0.000 0.500 0.000
Rb 0.500 0.000 0.000
Ca 0.000 0.000 0.500
U 0.000 0.500 0.500
U 0.500 0.000 0.500
U 0.500 0.500 0.500
Te 0.239 0.239 0.699
Te 0.240 0.720 0.699
Te 0.266 0.266 0.300
Te 0.280 0.760 0.301
Te 0.720 0.240 0.699
Te 0.734 0.734 0.700
Te 0.760 0.280 0.301
Te 0.761 0.761 0.301


Entry 7:
The following is a PBE-GGA calculation of an optimized crystal structure of YScB3, from the Alexandria database.

Values from the calculation:
Space group: No. 221
E above lowest polymorph: 0 meV/atom
Calculated formation energy: 0.98 eV per atom
Theoretical density: 3.441 g/cm3

abc: 4.313 4.313 4.313
angles: 90.00 90.00 90.00
Positions (direct):
Y 0.000 0.000 0.000
Sc 0.500 0.500 0.500
B 0.000 0.500 0.500
B 0.500 0.000 0.500
B 0.500 0.500 0.000


Entry 8:
The following is a PBE-GGA calculation of an optimized crystal structure of Pm2HS2, from the Alexandria database.

Values from the calculation:
Space group: No. 72
Calculated total energy: -0.2160 hartree per atom
Theoretical density: 6.129 g/cm3

abc: 7.094 7.094 7.094
angles: 131.42 70.02 132.84
Positions (direct):
Pm 0.114 0.222 0.336
Pm 0.386 0.722 0.108
Pm 0.614 0.278 0.892
Pm 0.886 0.778 0.664
H 0.250 0.250 0.000
H 0.750 0.750 0.000
S 0.139 0.710 0.849
S 0.361 0.210 0.571
S 0.639 0.790 0.429
S 0.861 0.290 0.151


Entry 9:
The following is a PBE-GGA calculation of an optimized crystal structure of Sr2Cd12In5, from the Alexandria database.

Values from the calculation:
Space group: No. 166
Calculated formation energy: -0.13 eV per atom
Theoretical density: 7.155 g/cm3

abc: 7.897 7.897 7.897
angles: 84.96 84.96 84.96
Positions (direct):
Sr 0.166 0.166 0.166
Sr 0.834 0.834 0.834
Cd 0.148 0.148 0.674
Cd 0.148 0.674 0.148
Cd 0.185 0.500 0.815
Cd 0.185 0.815 0.500
Cd 0.326 0.852 0.852
Cd 0.500 0.185 0.815
Cd 0.500 0.815 0.185
Cd 0.674 0.148 0.148
Cd 0.815 0.185 0.500
Cd 0.815 0.500 0.185
Cd 0.852 0.326 0.852
Cd 0.852 0.852 0.326
In 0.000 0.500 0.500
In 0.399 0.399 0.399
In 0.500 0.000 0.500
In 0.500 0.500 0.000
In 0.601 0.601 0.601


Entry 10:
The following is a PBE-GGA calculation of an optimized crystal structure of Tb4AgPd, from the Alexandria database.

Values from the calculation:
Space group: No. 12
E above lowest polymorph: 228 meV/atom
Calculated formation energy: -0.20 eV per atom
Theoretical density: 8.095 g/cm3

abc: 4.964 4.964 7.075
angles: 90.06 90.06 90.00
Positions (direct):
Tb 0.000 0.500 0.241
Tb 0.000 0.500 0.759
Tb 0.500 0.000 0.241
Tb 0.500 0.000 0.759
Ag 0.000 0.000 0.500
Pd 0.500 0.500 0.000


Entry 11:
The following is a PBE-GGA calculation of an optimized crystal structure of USnAs, from the Alexandria database.

Values from the calculation:
Space group: No. 164
Calculated formation energy: -0.10 eV per atom
Theoretical density: 9.668 g/cm3

abc: 4.727 4.727 7.664
angles: 90.00 90.00 120.00
Positions (direct):
U 0.000 0.000 0.156
U 0.000 0.000 0.844
Sn 0.333 0.667 0.412
Sn 0.667 0.333 0.588
As 0.333 0.667 0.972
As 0.667 0.333 0.028


Entry 12:
The following is a PBE-GGA calculation of an optimized crystal structure of Pr3Y2Tm8, from the Alexandria database.

Values from the calculation:
Space group: No. 10
E above lowest polymorph: 142 meV/atom
Calculated formation energy: 0.17 eV per atom
Theoretical density: 7.421 g/cm3

abc: 7.921 5.017 11.114
angles: 90.00 98.54 90.00
Positions (direct):
Pr 0.000 0.000 0.000
Pr 0.283 0.500 0.929
Pr 0.717 0.500 0.071
Y 0.300 0.000 0.427
Y 0.700 0.000 0.573
Tm 0.140 0.000 0.713
Tm 0.150 0.500 0.221
Tm 0.425 0.500 0.641
Tm 0.433 0.000 0.150
Tm 0.567 0.000 0.850
Tm 0.575 0.500 0.359
Tm 0.850 0.500 0.779
Tm 0.860 0.000 0.287


Entry 13:
The following is a PBE-GGA calculation of an optimized crystal structure of BeNi2As, from the Alexandria database.

Values from the calculation:
Space group: No. 99
E above lowest polymorph: 20 meV/atom
Calculated formation energy: -0.17 eV per atom
Theoretical density: 7.303 g/cm3

abc: 3.101 3.101 4.762
angles: 90.00 90.00 90.00
Positions (direct):
Be 0.000 0.000 0.000
Ni 0.000 0.000 0.478
Ni 0.500 0.500 0.176
As 0.500 0.500 0.689


Entry 14:
The following is a PBE-GGA calculation of an optimized crystal structure of LiGaRu, from the Alexandria database.

Values from the calculation:
Space group: No. 12
E above lowest polymorph: 47 meV/atom
Calculated formation energy: -0.20 eV per atom
Theoretical density: 7.141 g/cm3

abc: 4.800 4.800 5.104
angles: 116.09 116.09 53.92
Positions (direct):
Li 0.008 0.008 0.255
Li 0.992 0.992 0.745
Ga 0.324 0.324 0.749
Ga 0.676 0.676 0.251
Ru 0.346 0.346 0.259
Ru 0.654 0.654 0.741


Entry 15:
The following is a PBE-GGA calculation of an optimized crystal structure of CaSi2Tc, from the Alexandria database.

Values from the calculation:
Space group: No. 65
Energy relative to the elements, uncorrected: 203 meV/atom
E above lowest polymorph: 659 meV/atom
Theoretical density: 4.879 g/cm3

abc: 4.822 4.822 2.999
angles: 90.00 90.00 108.55
Positions (direct):
Ca 0.000 0.000 0.000
Si 0.000 0.500 0.500
Si 0.500 0.000 0.500
Tc 0.500 0.500 0.000


Entry 16:
The following is a PBE-GGA calculation of an optimized crystal structure of La4Pr3Sm5, from the Alexandria database.

Values from the calculation:
Space group: No. 12
E above lowest polymorph: 229 meV/atom
Calculated formation energy: 0.25 eV per atom
Theoretical density: 6.550 g/cm3

abc: 9.849 9.849 8.847
angles: 116.13 116.13 35.19
Positions (direct):
La 0.026 0.026 0.365
La 0.202 0.202 0.730
La 0.798 0.798 0.270
La 0.974 0.974 0.635
Pr 0.186 0.186 0.168
Pr 0.500 0.500 0.000
Pr 0.814 0.814 0.832
Sm 0.000 0.000 0.000
Sm 0.355 0.355 0.573
Sm 0.387 0.387 0.195
Sm 0.613 0.613 0.805
Sm 0.645 0.645 0.427


Entry 17:
The following is a PBE-GGA calculation of an optimized crystal structure of ScMn2Zn2, from the Alexandria database.

Values from the calculation:
Space group: No. 127
E above lowest polymorph: 0 meV/atom
Calculated formation energy: 0.05 eV per atom
Theoretical density: 6.157 g/cm3

abc: 7.461 7.461 2.768
angles: 90.00 90.00 90.00
Positions (direct):
Sc 0.000 0.000 0.000
Sc 0.500 0.500 0.000
Mn 0.123 0.377 0.000
Mn 0.377 0.877 0.000
Mn 0.623 0.123 0.000
Mn 0.877 0.623 0.000
Zn 0.173 0.673 0.500
Zn 0.327 0.173 0.500
Zn 0.673 0.827 0.500
Zn 0.827 0.327 0.500


Entry 18:
The following is a PBE-GGA calculation of an optimized crystal structure of Sm2GeO, from the Alexandria database.

Values from the calculation:
Space group: No. 160
Energy relative to the elements, uncorrected: -1469 meV/atom
E above lowest polymorph: 240 meV/atom
Theoretical density: 7.903 g/cm3

abc: 7.877 7.877 7.877
angles: 25.85 25.85 25.85
Positions (direct):
Sm 0.000 0.000 0.000
Sm 0.140 0.140 0.140
Ge 0.569 0.569 0.569
O 0.739 0.739 0.739


Entry 19:
The following is a PBE-GGA calculation of an optimized crystal structure of TiZn2Pd9, from the Alexandria database.

Values from the calculation:
Space group: No. 123
Calculated formation energy: -0.43 eV per atom
Theoretical density: 10.440 g/cm3

abc: 3.911 3.911 11.817
angles: 90.00 90.00 90.00
Positions (direct):
Ti 0.000 0.000 0.000
Zn 0.000 0.000 0.338
Zn 0.000 0.000 0.662
Pd 0.000 0.500 0.164
Pd 0.000 0.500 0.500
Pd 0.000 0.500 0.836
Pd 0.500 0.000 0.164
Pd 0.500 0.000 0.500
Pd 0.500 0.000 0.836
Pd 0.500 0.500 0.000
Pd 0.500 0.500 0.331
Pd 0.500 0.500 0.669


Entry 20:
The following is a PBE-GGA calculation of an optimized crystal structure of Pr2CN5, from the Alexandria database.

Values from the calculation:
Space group: No. 1
Energy relative to the elements, uncorrected: -522 meV/atom
Theoretical density: 4.557 g/cm3

abc: 4.395 4.987 7.068
angles: 73.91 73.28 65.31
Positions (direct):
Pr 0.000 0.000 0.000
Pr 0.480 0.338 0.601
C 0.621 0.726 0.772
N 0.018 0.299 0.252
N 0.174 0.421 0.286
N 0.358 0.835 0.671
N 0.604 0.911 0.890
N 0.872 0.447 0.759